The following is a DFT calculation (GGA+U) of a geometry-optimized Fe5O8F2 structure.

Values from the calculation:
calculated total energy	-5.980	eV/atom
crystal system	triclinic
space group	P1
density	4.67	g cm⁻³
M_tot	14.24	Bohr magnetons per cell

Lattice parameters (Å, degrees): 4.593 4.598 14.997 89.49 89.44 89.11
Element x y z (fractional)
Fe: 0.994 0.997 0.000
Fe: 0.003 0.008 0.207
Fe: 0.020 0.979 0.402
Fe: 0.994 0.997 0.595
Fe: 0.984 0.987 0.796
Fe: 0.475 0.477 0.098
Fe: 0.495 0.499 0.508
Fe: 0.496 0.506 0.298
Fe: 0.524 0.527 0.698
Fe: 0.517 0.520 0.898
O: 0.810 0.808 0.304
O: 0.785 0.791 0.499
O: 0.801 0.804 0.694
O: 0.813 0.818 0.898
O: 0.304 0.691 0.998
O: 0.292 0.693 0.197
O: 0.319 0.679 0.408
O: 0.311 0.688 0.601
O: 0.317 0.699 0.795
O: 0.689 0.308 0.998
O: 0.689 0.295 0.197
O: 0.690 0.320 0.603
O: 0.700 0.322 0.795
O: 0.178 0.183 0.102
O: 0.202 0.203 0.501
O: 0.199 0.195 0.305
F: 0.790 0.794 0.101
F: 0.699 0.300 0.408
F: 0.202 0.203 0.896
F: 0.210 0.208 0.699